1.
First-principles (PBE-GGA) data for a geometry-optimized HfTeAs2Se structure, as listed in Alexandria.

Values from the calculation:
energy relative to the lowest polymorph listed for this composition = 444.8 meV/atom
E_form (uncorrected) = 0.574 eV/atom
SG = No. 123
DOS at the Fermi energy = 4.27 states/eV/f.u.

Lattice parameters (Å, degrees): 5.070 5.070 5.030 90.00 90.00 90.00
Element x y z (fractional)
Hf (0.000, 0.000, 0.000)
Te (0.500, 0.500, 0.000)
As (0.000, 0.500, 0.500)
As (0.500, 0.000, 0.500)
Se (0.000, 0.000, 0.500)


2.
First-principles (PBE-GGA) data for a geometry-optimized YZrSe structure, as listed in Alexandria.

Values from the calculation:
energy relative to the lowest polymorph listed for this composition = 0.0 meV/atom
E_form (uncorrected) = -0.978 eV/atom
SG = No. 129
DOS at the Fermi energy = 2.55 states/eV/f.u.

Lattice parameters (Å, degrees): 4.077 4.077 8.104 90.00 90.00 90.00
Element x y z (fractional)
Y (0.250, 0.250, 0.137)
Y (0.750, 0.750, 0.863)
Zr (0.250, 0.750, 0.500)
Zr (0.750, 0.250, 0.500)
Se (0.250, 0.250, 0.756)
Se (0.750, 0.750, 0.244)


3.
First-principles (PBE-GGA) data for a geometry-optimized Pm2DyAg3Te6 structure, as listed in Alexandria.

Values from the calculation:
E_form (uncorrected) = -0.858 eV/atom
SG = No. 12

Lattice parameters (Å, degrees): 10.199 10.199 8.537 102.68 102.68 25.25
Element x y z (fractional)
Pm (0.172, 0.172, 0.308)
Pm (0.828, 0.828, 0.692)
Dy (0.500, 0.500, 0.000)
Ag (0.207, 0.207, 0.768)
Ag (0.500, 0.500, 0.500)
Ag (0.793, 0.793, 0.232)
Te (0.010, 0.010, 0.257)
Te (0.339, 0.339, 0.428)
Te (0.341, 0.341, 0.960)
Te (0.659, 0.659, 0.040)
Te (0.661, 0.661, 0.572)
Te (0.990, 0.990, 0.743)


4.
First-principles (PBE-GGA) data for a geometry-optimized Y2Os2Br structure, as listed in Alexandria.

Values from the calculation:
energy relative to the lowest polymorph listed for this composition = 295.7 meV/atom
E_form (uncorrected) = 0.107 eV/atom
SG = No. 127
DOS at the Fermi energy = 4.58 states/eV/f.u.

Lattice parameters (Å, degrees): 8.306 8.306 3.399 90.00 90.00 90.00
Element x y z (fractional)
Y (0.188, 0.312, 0.000)
Y (0.312, 0.812, 0.000)
Y (0.688, 0.188, 0.000)
Y (0.812, 0.688, 0.000)
Os (0.100, 0.600, 0.500)
Os (0.400, 0.100, 0.500)
Os (0.600, 0.900, 0.500)
Os (0.900, 0.400, 0.500)
Br (0.000, 0.000, 0.000)
Br (0.500, 0.500, 0.000)


5.
First-principles (PBE-GGA) data for a geometry-optimized Ho2Pd12Au5 structure, as listed in Alexandria.

Values from the calculation:
SG = No. 12
energy relative to the elements = -278 meV per atom
DOS at the Fermi energy = 12.08 states/eV/f.u.

Lattice parameters (Å, degrees): 7.487 7.487 6.552 96.11 96.11 68.97
Element x y z (fractional)
Ho (0.227, 0.773, 0.000)
Ho (0.773, 0.227, 0.000)
Pd (0.077, 0.447, 0.183)
Pd (0.136, 0.136, 0.874)
Pd (0.172, 0.621, 0.572)
Pd (0.379, 0.828, 0.428)
Pd (0.447, 0.077, 0.183)
Pd (0.448, 0.448, 0.289)
Pd (0.552, 0.552, 0.711)
Pd (0.553, 0.923, 0.817)
Pd (0.621, 0.172, 0.572)
Pd (0.828, 0.379, 0.428)
Pd (0.864, 0.864, 0.126)
Pd (0.923, 0.553, 0.817)
Au (0.000, 0.000, 0.500)
Au (0.226, 0.226, 0.507)
Au (0.358, 0.358, 0.883)
Au (0.642, 0.642, 0.117)
Au (0.774, 0.774, 0.493)


6.
First-principles (PBE-GGA) data for a geometry-optimized CsHg3Br structure, as listed in Alexandria.

Values from the calculation:
E_form (uncorrected) = -0.298 eV/atom
SG = No. 221

Lattice parameters (Å, degrees): 6.699 6.699 6.699 90.00 90.00 90.00
Element x y z (fractional)
Cs (0.000, 0.000, 0.000)
Hg (0.000, 0.500, 0.500)
Hg (0.500, 0.000, 0.500)
Hg (0.500, 0.500, 0.000)
Br (0.500, 0.500, 0.500)


| no. | mass density (Mg/m³) | total DFT energy (no corrections) (eV/cell) |
| --- | --- | --- |
| 1 | 6.9 | -23.0 |
| 2 | 6.4 | -42.9 |
| 3 | 6.9 | -51.8 |
| 4 | 9.0 | -73.1 |
| 5 | 12.7 | -93.1 |
| 6 | 4.5 | -4.9 |